Here is a relaxed GaHRh3 crystal from Alexandria. Energies are from PBE-GGA.

Computed properties:
E above lowest polymorph, meV per atom: 203.0

```
GaHRh3
1.0
2.527 -1.459 0.000
0.000 2.918 0.000
0.000 0.000 16.801
Rh Ga H
6 2 2
Cartesian
1.684 0.000 6.465
0.842 1.459 14.865
0.000 0.000 12.601
0.000 0.000 4.200
1.684 0.000 1.935
0.842 1.459 10.336
0.000 0.000 0.000
0.000 0.000 8.400
1.684 0.000 4.200
0.842 1.459 12.601
```

=====

Here is a relaxed LiAs4Rh crystal from Alexandria. Energies are from PBE-GGA.

Computed properties:
ΔH_f (0 K), meV/atom: 331

```
LiAs4Rh
1.0
0.866 2.209 4.906
0.775 5.374 0.471
-3.834 3.115 2.301
As Li Rh
4 1 1
Cartesian
-0.398 5.119 5.314
-0.442 6.682 3.123
-0.826 4.028 2.891
-2.719 5.566 4.027
-1.644 8.023 5.758
0.000 0.000 0.000
```

=====

Here is a relaxed Re2MoPb crystal from Alexandria. Energies are from PBE-GGA.

Computed properties:
ΔH_f (0 K), meV/atom: 876

```
Re2MoPb
1.0
3.181 0.000 0.000
0.000 4.436 0.000
0.000 0.000 4.879
Pb Re Mo
1 2 1
Cartesian
0.000 2.218 2.440
1.590 2.218 0.000
0.000 0.000 0.000
1.590 0.000 2.440
```